Entry from Alexandria via LeMat-Bulk: CsTaWO6 at its PBEsol-relaxed geometry (SCAN).

Cell: 7.357 7.357 7.357 Å, 120.34 119.78 89.90°
Element x y z (fractional)
Cs1 0.379 0.129 0.250
Cs2 0.621 0.871 0.750
Ta1 0.000 0.500 0.500
Ta2 0.500 0.500 0.000
W1 0.000 0.000 0.500
W2 0.000 0.500 0.000
O1 0.057 0.807 0.250
O2 0.059 0.438 0.243
O3 0.059 0.817 0.621
O4 0.305 0.183 0.743
O5 0.305 0.562 0.121
O6 0.314 0.564 0.750
O7 0.686 0.436 0.250
O8 0.695 0.438 0.879
O9 0.695 0.817 0.257
O10 0.941 0.183 0.379
O11 0.941 0.562 0.757
O12 0.943 0.193 0.750

Computed properties:
ΔE_f (raw) ... -2.68 eV per atom



Entry from Alexandria via LeMat-Bulk: CsTc2O2 at its PBEsol-relaxed geometry (SCAN).

Cell: 6.876 6.876 6.876 Å, 149.73 149.73 43.34°
Element x y z (fractional)
Cs1 0.000 0.000 0.000
Tc1 0.250 0.750 0.500
Tc2 0.750 0.250 0.500
O1 0.341 0.341 0.000
O2 0.659 0.659 0.000

Computed properties:
ΔE_f (raw) ... -0.44 eV per atom